[1]
A geometry-optimized HoErAg2O4 structure, computed with GGA-PBE.

Cell lengths 3.445, 3.445, 12.509 Å; angles 90.00, 90.00, 120.00 degrees
Fractional coordinates of all 8 atoms:
Ag 0.333 0.667 0.250
Ag 0.667 0.333 0.750
Er 0.000 0.000 0.000
Ho 0.000 0.000 0.500
O 0.333 0.667 0.084
O 0.333 0.667 0.415
O 0.667 0.333 0.585
O 0.667 0.333 0.916

=====

[2]
A geometry-optimized RbGeOs structure, computed with GGA-PBE.

Results
Distance to the lowest polymorph of the same formula   176 meV per atom

Cell lengths 4.697, 4.697, 4.697 Å; angles 60.00, 60.00, 60.00 degrees
Fractional coordinates of all 3 atoms:
Ge 0.000 0.000 0.000
Os 0.250 0.250 0.250
Rb 0.750 0.750 0.750

=====

[3]
A geometry-optimized BaTaPdAu structure, computed with GGA-PBE.

Results
Distance to the lowest polymorph of the same formula   0 meV per atom

Cell lengths 5.099, 5.099, 5.099 Å; angles 60.00, 60.00, 60.00 degrees
Fractional coordinates of all 4 atoms:
Au 0.750 0.750 0.750
Ba 0.500 0.500 0.500
Pd 0.250 0.250 0.250
Ta 0.000 0.000 0.000

=====

[4]
A geometry-optimized HfPaC2 structure, computed with GGA-PBE.

Cell lengths 3.463, 3.463, 4.897 Å; angles 90.00, 90.00, 90.00 degrees
Fractional coordinates of all 4 atoms:
C 0.500 0.500 0.000
C 0.000 0.000 0.500
Hf 0.000 0.000 0.000
Pa 0.500 0.500 0.500

=====

[5]
A geometry-optimized ThNpPt structure, computed with GGA-PBE.

Results
E_form   -0.228 eV per atom
Distance to the lowest polymorph of the same formula   0 meV per atom

Cell lengths 4.941, 4.941, 4.941 Å; angles 60.00, 60.00, 60.00 degrees
Fractional coordinates of all 3 atoms:
Np 0.250 0.250 0.250
Pt 0.000 0.000 0.000
Th 0.750 0.750 0.750

=====

[6]
A geometry-optimized LiLu2Pb structure, computed with GGA-PBE.

Cell lengths 5.279, 5.279, 5.279 Å; angles 60.00, 60.00, 60.00 degrees
Fractional coordinates of all 4 atoms:
Li 0.250 0.250 0.250
Lu 0.000 0.000 0.000
Lu 0.750 0.750 0.750
Pb 0.500 0.500 0.500

=====

[7]
A geometry-optimized SrYCuTe2Se structure, computed with GGA-PBE.

Cell lengths 7.552, 7.552, 10.760 Å; angles 90.00, 90.00, 147.44 degrees
Fractional coordinates of all 12 atoms:
Cu 0.475 0.525 0.250
Cu 0.525 0.475 0.750
Se 0.071 0.929 0.250
Se 0.929 0.071 0.750
Sr 0.732 0.268 0.250
Sr 0.268 0.732 0.750
Te 0.355 0.645 0.064
Te 0.355 0.645 0.436
Te 0.645 0.355 0.564
Te 0.645 0.355 0.936
Y 0.000 0.000 0.000
Y 0.000 0.000 0.500

=====

[8]
A geometry-optimized LiScFeMo structure, computed with GGA-PBE.

Results
Distance to the lowest polymorph of the same formula   95 meV per atom

Cell lengths 4.317, 4.317, 4.317 Å; angles 60.00, 60.00, 60.00 degrees
Fractional coordinates of all 4 atoms:
Fe 0.000 0.000 0.000
Li 0.750 0.750 0.750
Mo 0.250 0.250 0.250
Sc 0.500 0.500 0.500

=====

| no. | total DFT energy (no corrections) (eV/atom) |
| --- | --- |
| 1 | -6.633 |
| 2 | -4.002 |
| 3 | -5.108 |
| 4 | -10.052 |
| 5 | -8.975 |
| 6 | -3.666 |
| 7 | -4.926 |
| 8 | -6.590 |